# 1
# TbTlAu3S4

An optimized crystal structure of TbTlAu3S4 (PBE, OQMD via LeMat-Bulk). Values from VASP.

```
&SYSTEM
  ibrav = 0, nat = 18, ntyp = 4
/
ATOMIC_SPECIES
Tb 158.93 Tb.upf
Tl 204.38 Tl.upf
Au 196.97 Au.upf
S 32.06 S.upf
CELL_PARAMETERS angstrom
5.8801 0.0000 0.0000
0.0000 7.3058 0.0000
-2.4497 0.0000 10.4568
ATOMIC_POSITIONS crystal
Tb 0.1218 0.2500 0.3045
Tb 0.8782 0.7500 0.6955
Tl 0.2288 0.2500 0.8918
Tl 0.7712 0.7500 0.1082
Au 0.3035 0.5585 0.5600
Au 0.3035 0.9415 0.5600
Au 0.4415 0.7500 0.8294
Au 0.5585 0.2500 0.1706
Au 0.6965 0.0585 0.4400
Au 0.6965 0.4415 0.4400
S 0.0337 0.2500 0.5518
S 0.1305 0.7500 0.9328
S 0.3858 0.5232 0.2619
S 0.3858 0.9768 0.2619
S 0.6142 0.0232 0.7381
S 0.6142 0.4768 0.7381
S 0.8695 0.2500 0.0672
S 0.9663 0.7500 0.4482
```

**V**: 24.96 Å³/atom
**Total DFT energy (no corrections)**: -4.169 eV/atom
**Symmetry**: No. 11

=====

# 2
# AlNiMoOs

An optimized crystal structure of AlNiMoOs (PBE, OQMD via LeMat-Bulk). Values from VASP.

```
&SYSTEM
  ibrav = 0, nat = 4, ntyp = 4
/
ATOMIC_SPECIES
Al 26.98 Al.upf
Ni 58.69 Ni.upf
Mo 95.94 Mo.upf
Os 190.23 Os.upf
CELL_PARAMETERS angstrom
0.0000 3.0241 3.0241
3.0241 0.0000 3.0241
3.0241 3.0241 0.0000
ATOMIC_POSITIONS crystal
Al 0.0000 0.0000 0.0000
Ni 0.2500 0.2500 0.2500
Mo 0.7500 0.7500 0.7500
Os 0.5000 0.5000 0.5000
```

**V**: 13.83 Å³/atom
**Total DFT energy (no corrections)**: -7.920 eV/atom
**Symmetry**: No. 216

=====

# 3
# GdSbN2O

An optimized crystal structure of GdSbN2O (PBE, OQMD via LeMat-Bulk). Values from VASP.

```
&SYSTEM
  ibrav = 0, nat = 10, ntyp = 4
/
ATOMIC_SPECIES
Gd 157.25 Gd.upf
Sb 121.76 Sb.upf
N 14.01 N.upf
O 16.00 O.upf
CELL_PARAMETERS angstrom
-4.0653 2.8041 2.8178
4.0653 -2.8041 2.8178
4.0653 2.8041 -2.8178
ATOMIC_POSITIONS crystal
Gd 0.0277 0.2500 0.2777
Gd 0.9723 0.7500 0.7223
Sb 0.5038 0.0038 0.5000
Sb 0.5038 0.5038 0.0000
N 0.0046 0.1870 0.6845
N 0.0046 0.8200 0.3175
N 0.5025 0.3200 0.3155
N 0.5025 0.6870 0.6825
O 0.4027 0.7641 0.1386
O 0.6255 0.2641 0.8614
```

**V**: 12.85 Å³/atom
**Total DFT energy (no corrections)**: -6.994 eV/atom
**Symmetry**: No. 46

=====

# 4
# Ho2Ga4CoNi

An optimized crystal structure of Ho2Ga4CoNi (PBE, OQMD via LeMat-Bulk). Values from VASP.

```
&SYSTEM
  ibrav = 0, nat = 8, ntyp = 4
/
ATOMIC_SPECIES
Ho 164.93 Ho.upf
Ga 69.72 Ga.upf
Co 58.93 Co.upf
Ni 58.69 Ni.upf
CELL_PARAMETERS angstrom
6.7406 0.0000 0.0000
0.0000 2.0319 5.0152
0.0000 -2.0319 5.0152
ATOMIC_POSITIONS crystal
Ho 0.0000 0.0000 0.0000
Ho 0.5000 0.1368 0.1368
Ga 0.1969 0.7159 0.7159
Ga 0.3042 0.4226 0.4226
Ga 0.6958 0.4226 0.4226
Ga 0.8031 0.7159 0.7159
Co 0.5000 0.8569 0.8569
Ni 0.0000 0.2821 0.2821
```

**V**: 17.17 Å³/atom
**Total DFT energy (no corrections)**: -4.840 eV/atom
**Symmetry**: No. 38

=====

# 5
# PrYSc

An optimized crystal structure of PrYSc (PBE, OQMD via LeMat-Bulk). Values from VASP.

```
&SYSTEM
  ibrav = 0, nat = 3, ntyp = 3
/
ATOMIC_SPECIES
Pr 140.91 Pr.upf
Y 88.91 Y.upf
Sc 44.96 Sc.upf
CELL_PARAMETERS angstrom
0.0000 3.7589 3.7589
3.7589 0.0000 3.7589
3.7589 3.7589 0.0000
ATOMIC_POSITIONS crystal
Pr 0.0000 0.0000 0.0000
Y 0.5000 0.5000 0.5000
Sc 0.2500 0.2500 0.2500
```

**V**: 35.41 Å³/atom
**Symmetry**: No. 216
**Calculated formation energy**: 0.669 eV/atom

=====

# 6
# LaInHgTe3

An optimized crystal structure of LaInHgTe3 (PBE, OQMD via LeMat-Bulk). Values from VASP.

```
&SYSTEM
  ibrav = 0, nat = 24, ntyp = 4
/
ATOMIC_SPECIES
La 138.91 La.upf
In 114.82 In.upf
Hg 200.59 Hg.upf
Te 127.60 Te.upf
CELL_PARAMETERS angstrom
12.6991 0.0000 0.0000
0.0000 4.7305 0.0000
0.0000 0.0000 13.3651
ATOMIC_POSITIONS crystal
La 0.0217 0.2500 0.1916
La 0.4783 0.7500 0.6916
La 0.5217 0.2500 0.3084
La 0.9783 0.7500 0.8084
In 0.1841 0.2500 0.4899
In 0.3159 0.7500 0.9899
In 0.6841 0.2500 0.0101
In 0.8159 0.7500 0.5101
Hg 0.2446 0.7500 0.2945
Hg 0.2554 0.2500 0.7945
Hg 0.7446 0.7500 0.2055
Hg 0.7554 0.2500 0.7055
Te 0.0329 0.7500 0.3628
Te 0.0897 0.2500 0.9384
Te 0.2160 0.7500 0.6736
Te 0.2840 0.2500 0.1736
Te 0.4103 0.7500 0.4384
Te 0.4671 0.2500 0.8628
Te 0.5329 0.7500 0.1372
Te 0.5897 0.2500 0.5616
Te 0.7160 0.7500 0.8264
Te 0.7840 0.2500 0.3264
Te 0.9103 0.7500 0.0616
Te 0.9671 0.2500 0.6372
```

**V**: 33.45 Å³/atom
**Total DFT energy (no corrections)**: -3.618 eV/atom
**Symmetry**: No. 62